Sm7IrI12 (PBE-GGA, optimized geometry); ΔE_f (raw) = -1.290 eV per atom; E_tot = -86.3 eV/cell; volume = 827 Å³ per cell; density of states at the Fermi level = 9.4 states/eV/cell; spin magnetization = 0.00 μB per formula unit
1.0
-1.2892 1.7358 -9.7309
-1.9473 -9.6597 1.5049
-7.0337 5.1611 4.8225
I Sm Ir
12 7 1
Cartesian
-2.5345 -2.9815 -2.2693
-6.0490 -1.7195 -4.6507
-7.2776 2.4956 -4.8102
-8.4555 -2.1365 2.5040
-2.9925 -5.2584 1.4067
-1.8147 -0.6263 -5.9075
-3.6197 1.2337 -2.4162
-6.6505 -3.9965 -0.9873
-4.2212 -1.0433 1.2471
-5.0767 -5.9572 -4.5901
-7.7357 0.2187 -1.1342
-5.1935 3.1944 1.1866
-8.9798 -0.4142 -4.1007
-8.0003 -4.2558 -3.9380
-9.5389 -2.4640 -0.7497
-0.7312 -0.2988 -2.6539
-1.2903 -2.3486 0.6972
-5.1351 -1.3814 -1.7018
-2.2699 1.4930 0.5345
0.0000 0.0000 0.0000


Sm2IrI2 (PBE-GGA, optimized geometry); ΔE_f (raw) = -1.062 eV per atom; E_tot = -26.7 eV/cell; volume = 183 Å³ per cell; density of states at the Fermi level = 3.2 states/eV/cell; spin magnetization = 0.00 μB per formula unit
1.0
4.1208 0.0000 0.7694
2.0022 3.6168 0.6965
-0.1479 -0.0988 12.2130
I Ir Sm
2 1 2
Cartesian
3.6485 3.2899 3.2992
2.3266 0.2281 10.3796
0.9271 1.7590 6.4547
2.6834 2.8289 8.4688
3.2918 0.6891 5.2100


SmIrI (PBE-GGA, optimized geometry); ΔE_f (raw) = -0.687 eV per atom; E_tot = -34.4 eV/cell; volume = 183 Å³ per cell; density of states at the Fermi level = 4.7 states/eV/cell; spin magnetization = 0.00 μB per formula unit
1.0
-1.0357 -0.6946 5.3798
-2.6962 -2.2776 2.0213
4.1784 -10.9706 2.2225
Sm I Ir
2 2 2
Cartesian
2.5142 -7.3392 2.3709
-2.0677 -6.6035 7.2527
1.0140 -11.1664 7.2569
-0.5675 -2.7763 2.3667
-0.9961 -6.6531 4.6182
1.4426 -7.2897 5.0055


Sm2IrI (PBE-GGA, optimized geometry); ΔE_f (raw) = -0.720 eV per atom; E_tot = -22.7 eV/cell; volume = 107 Å³ per cell; density of states at the Fermi level = 3.0 states/eV/cell; spin magnetization = 0.00 μB per formula unit
1.0
-1.6870 -0.0912 -3.1307
1.2876 -3.2617 -0.5988
-6.8075 -3.3788 3.7666
I Sm Ir
1 2 1
Cartesian
-3.6034 -3.3658 0.0186
-1.3644 -0.6772 0.7549
-5.4431 -2.7016 3.0117
-0.1997 -1.6764 -1.8648


The highest density of states at the Fermi level belongs to which entry? Sm7IrI12


Copy entry 1 word for word.
Sm7IrI12 (PBE-GGA, optimized geometry); ΔE_f (raw) = -1.290 eV per atom; E_tot = -86.3 eV/cell; volume = 827 Å³ per cell; density of states at the Fermi level = 9.4 states/eV/cell; spin magnetization = 0.00 μB per formula unit
1.0
-1.2892 1.7358 -9.7309
-1.9473 -9.6597 1.5049
-7.0337 5.1611 4.8225
I Sm Ir
12 7 1
Cartesian
-2.5345 -2.9815 -2.2693
-6.0490 -1.7195 -4.6507
-7.2776 2.4956 -4.8102
-8.4555 -2.1365 2.5040
-2.9925 -5.2584 1.4067
-1.8147 -0.6263 -5.9075
-3.6197 1.2337 -2.4162
-6.6505 -3.9965 -0.9873
-4.2212 -1.0433 1.2471
-5.0767 -5.9572 -4.5901
-7.7357 0.2187 -1.1342
-5.1935 3.1944 1.1866
-8.9798 -0.4142 -4.1007
-8.0003 -4.2558 -3.9380
-9.5389 -2.4640 -0.7497
-0.7312 -0.2988 -2.6539
-1.2903 -2.3486 0.6972
-5.1351 -1.3814 -1.7018
-2.2699 1.4930 0.5345
0.0000 0.0000 0.0000